{"formula": "Ce3Ni2Sn7", "functional": "PBE", "state": "optimized geometry", "lattice": [[4.619, 0.000, 0.000], [0.000, 4.589, 0.000], [-2.305, 0.000, 13.695]], "species": ["Ce", "Ce", "Ce", "Ni", "Ni", "Sn", "Sn", "Sn", "Sn", "Sn", "Sn", "Sn"], "frac_coords": [[0.000, 0.000, 0.000], [0.315, 0.500, 0.631], [0.685, 0.500, 0.369], [0.127, 0.000, 0.255], [0.873, 0.000, 0.745], [0.089, 0.500, 0.177], [0.218, 0.000, 0.437], [0.411, 0.000, 0.822], [0.500, 0.500, 0.000], [0.589, 0.000, 0.178], [0.782, 0.000, 0.563], [0.911, 0.500, 0.823]], "total_energy_ev_per_atom": -5.3179, "spacegroup": "P2/m, No. 10", "volume_a3_per_cell": 290.26, "formation_enthalpy_0k_ev_per_atom": -0.536}

{"formula": "Dy3HoO6", "functional": "PBE", "state": "optimized geometry", "lattice": [[2.903, 1.676, 5.054], [-2.903, 1.676, 5.054], [0.000, -3.352, 5.054]], "species": ["Dy", "Dy", "Dy", "Ho", "O", "O", "O", "O", "O", "O"], "frac_coords": [[0.000, 0.000, 0.000], [0.217, 0.217, 0.217], [0.717, 0.717, 0.717], [0.501, 0.501, 0.501], [0.111, 0.400, 0.814], [0.316, 0.899, 0.609], [0.400, 0.814, 0.111], [0.609, 0.316, 0.899], [0.814, 0.111, 0.400], [0.899, 0.609, 0.316]], "total_energy_ev_per_atom": -8.3596, "spacegroup": "R3, No. 146", "e_above_lowest_polymorph_ev_per_atom": 0.030, "volume_a3_per_cell": 147.56, "e_form_raw_ev_per_atom": -3.546}

{"formula": "TbPaN2", "functional": "PBE", "state": "optimized geometry", "lattice": [[-2.476, 2.476, 4.931], [2.476, -2.476, 4.931], [2.476, 2.476, -4.931]], "species": ["Tb", "Tb", "Pa", "Pa", "N", "N", "N", "N"], "frac_coords": [[0.375, 0.625, 0.750], [0.625, 0.375, 0.250], [0.125, 0.875, 0.250], [0.875, 0.125, 0.750], [0.117, 0.367, 0.750], [0.367, 0.117, 0.250], [0.633, 0.883, 0.750], [0.883, 0.633, 0.250]], "total_energy_ev_per_atom": -9.3386, "spacegroup": "I4_1/amd, No. 141", "volume_a3_per_cell": 120.88, "e_form_raw_ev_per_atom": -1.644}

{"formula": "EuPuGaAg", "functional": "PBE", "state": "optimized geometry", "lattice": [[0.000, 3.709, 3.709], [3.709, 0.000, 3.709], [3.709, 3.709, 0.000]], "species": ["Eu", "Pu", "Ga", "Ag"], "frac_coords": [[0.000, 0.000, 0.000], [0.500, 0.500, 0.500], [0.250, 0.250, 0.250], [0.750, 0.750, 0.750]], "total_energy_ev_per_atom": -7.7757, "spacegroup": "F-43m, No. 216", "volume_a3_per_cell": 102.09, "formation_enthalpy_0k_ev_per_atom": -0.155}

{"formula": "Fe2TePt", "functional": "PBE", "state": "optimized geometry", "lattice": [[1.517, 0.876, 8.143], [-1.517, 0.876, 8.143], [0.000, -1.752, 8.143]], "species": ["Fe", "Fe", "Te", "Pt"], "frac_coords": [[0.248, 0.248, 0.248], [0.752, 0.752, 0.752], [0.000, 0.000, 0.000], [0.500, 0.500, 0.500]], "total_energy_ev_per_atom": -6.1541, "spacegroup": "R-3m, No. 166", "volume_a3_per_cell": 64.91, "e_form_raw_ev_per_atom": 0.373}

{"formula": "Ba2GaSi", "functional": "PBE", "state": "optimized geometry", "lattice": [[6.869, 0.000, 0.000], [0.000, 4.293, 0.000], [-3.245, 0.000, 9.275]], "species": ["Ba", "Ba", "Ba", "Ba", "Ga", "Ga", "Si", "Si"], "frac_coords": [[0.210, 0.250, 0.432], [0.288, 0.750, 0.073], [0.712, 0.250, 0.927], [0.790, 0.750, 0.568], [0.330, 0.750, 0.724], [0.670, 0.250, 0.276], [0.161, 0.250, 0.781], [0.839, 0.750, 0.219]], "total_energy_ev_per_atom": -3.4623, "spacegroup": "P2_1/m, No. 11", "volume_a3_per_cell": 273.49, "e_form_raw_ev_per_atom": -0.388}

{"formula": "Be3NbAg", "functional": "PBE", "state": "optimized geometry", "lattice": [[4.430, 0.000, 0.000], [0.000, 4.430, 0.000], [0.000, 0.000, 4.430]], "species": ["Be", "Be", "Be", "Nb", "Ag"], "frac_coords": [[0.000, 0.000, 0.500], [0.000, 0.500, 0.000], [0.500, 0.000, 0.000], [0.000, 0.000, 0.000], [0.500, 0.500, 0.500]], "total_energy_ev_per_atom": -3.2685, "spacegroup": "Pm-3m, No. 221", "e_above_lowest_polymorph_ev_per_atom": 0.727, "volume_a3_per_cell": 86.92, "formation_enthalpy_0k_ev_per_atom": 1.551}

{"formula": "LaYC3", "functional": "PBE", "state": "optimized geometry", "lattice": [[4.463, 0.000, 0.000], [0.000, 4.463, 0.000], [0.000, 0.000, 4.463]], "species": ["La", "Y", "C", "C", "C"], "frac_coords": [[0.000, 0.000, 0.000], [0.500, 0.500, 0.500], [0.000, 0.500, 0.500], [0.500, 0.000, 0.500], [0.500, 0.500, 0.000]], "total_energy_ev_per_atom": -6.4270, "spacegroup": "Pm-3m, No. 221", "e_above_lowest_polymorph_ev_per_atom": 1.571, "volume_a3_per_cell": 88.90, "formation_enthalpy_0k_ev_per_atom": 1.386}

{"formula": "Y3PbO7", "functional": "PBE", "state": "optimized geometry", "lattice": [[3.766, -5.487, 0.000], [3.766, 5.487, 0.000], [0.000, 0.000, 7.617]], "species": ["Y", "Y", "Y", "Y", "Y", "Y", "Pb", "Pb", "O", "O", "O", "O", "O", "O", "O", "O", "O", "O", "O", "O", "O", "O"], "frac_coords": [[0.000, 0.000, 0.000], [0.000, 0.000, 0.500], [0.030, 0.492, 0.750], [0.492, 0.030, 0.250], [0.508, 0.970, 0.750], [0.970, 0.508, 0.250], [0.500, 0.500, 0.000], [0.500, 0.500, 0.500], [0.129, 0.871, 0.750], [0.132, 0.868, 0.250], [0.152, 0.403, 0.034], [0.152, 0.403, 0.466], [0.401, 0.599, 0.750], [0.403, 0.152, 0.534], [0.403, 0.152, 0.966], [0.597, 0.848, 0.034], [0.597, 0.848, 0.466], [0.599, 0.401, 0.250], [0.848, 0.597, 0.534], [0.848, 0.597, 0.966], [0.868, 0.132, 0.750], [0.871, 0.129, 0.250]], "total_energy_ev_per_atom": -7.8482, "spacegroup": "Cmcm, No. 63", "volume_a3_per_cell": 314.76, "e_form_raw_ev_per_atom": -2.593}

{"formula": "Ba2SrFeW", "functional": "PBE", "state": "optimized geometry", "lattice": [[6.485, 0.000, 0.000], [0.000, 6.485, 0.000], [0.000, 0.000, 4.532]], "species": ["Ba", "Ba", "Sr", "Fe", "W"], "frac_coords": [[0.000, 0.500, 0.000], [0.500, 0.000, 0.000], [0.000, 0.000, 0.000], [0.000, 0.000, 0.500], [0.500, 0.500, 0.500]], "total_energy_ev_per_atom": -3.2398, "spacegroup": "P4/mmm, No. 123", "volume_a3_per_cell": 190.61, "formation_enthalpy_0k_ev_per_atom": 2.149}

{"formula": "MgAlRe2", "functional": "PBE", "state": "optimized geometry", "lattice": [[1.501, -2.326, 0.000], [1.501, 2.326, 0.000], [0.000, 0.000, 9.163]], "species": ["Mg", "Al", "Re", "Re"], "frac_coords": [[0.000, 0.000, 0.000], [0.500, 0.500, 0.729], [0.000, 0.000, 0.491], [0.500, 0.500, 0.257]], "total_energy_ev_per_atom": -7.3827, "spacegroup": "Cmm2, No. 35", "e_above_lowest_polymorph_ev_per_atom": 0.252, "volume_a3_per_cell": 63.96, "formation_enthalpy_0k_ev_per_atom": 0.176}

{"formula": "Rb2SbPtI6", "functional": "PBE", "state": "optimized geometry", "lattice": [[-4.169, 4.169, 5.866], [4.169, -4.169, 5.866], [4.169, 4.169, -5.866]], "species": ["Rb", "Rb", "Sb", "Pt", "I", "I", "I", "I", "I", "I"], "frac_coords": [[0.250, 0.750, 0.500], [0.750, 0.250, 0.500], [0.000, 0.000, 0.000], [0.500, 0.500, 0.000], [0.261, 0.261, 0.000], [0.261, 0.261, 0.521], [0.261, 0.739, 0.000], [0.739, 0.261, 0.000], [0.739, 0.739, 0.000], [0.739, 0.739, 0.479]], "total_energy_ev_per_atom": -2.8024, "spacegroup": "I4/mmm, No. 139", "volume_a3_per_cell": 407.82, "e_form_raw_ev_per_atom": -0.662}